1.
KAlCu2, optimized geometry, DFT PBE; space group = No. 6; total energy = -3.025 eV/atom; formation enthalpy at 0 K = 0.9 eV per formula unit; crystal system = monoclinic
1.0
2.831 0.000 0.000
0.000 4.186 0.000
-1.376 0.000 7.057
K Al Cu
1 1 2
Cartesian
0.000 0.000 0.000
1.442 2.093 2.801
0.025 0.000 3.305
0.027 2.093 4.854

=====

2.
KAl2Cu, optimized geometry, DFT PBE; space group = No. 71; total energy = -2.919 eV/atom; formation enthalpy at 0 K = 1.0 eV per formula unit; crystal system = orthorhombic
1.0
-1.400 2.719 5.450
1.400 -2.719 5.450
1.400 2.719 -5.450
K Al Cu
1 2 1
Cartesian
0.000 0.000 0.000
1.400 0.000 3.241
0.000 2.719 2.208
0.000 0.000 5.450

=====

3.
KAl2Cu2, optimized geometry, DFT PBE; space group = No. 127; total energy = -3.294 eV/atom; formation enthalpy at 0 K = 0.3 eV per formula unit; crystal system = tetragonal
1.0
8.128 0.000 0.000
0.000 8.128 0.000
0.000 0.000 2.650
K Al Cu
2 4 4
Cartesian
0.000 0.000 0.000
4.064 4.064 0.000
1.057 3.007 1.325
3.007 7.071 1.325
5.121 1.057 1.325
7.071 5.121 1.325
1.261 5.325 0.000
2.803 1.261 0.000
5.325 6.867 0.000
6.867 2.803 0.000

=====

4.
KMgAl2Cu, optimized geometry, DFT PBE; space group = No. 123; total energy = -2.482 eV/atom; formation enthalpy at 0 K = 1.9 eV per formula unit; crystal system = tetragonal
1.0
4.753 0.000 0.000
0.000 4.753 0.000
0.000 0.000 5.720
K Mg Al Cu
1 1 2 1
Cartesian
0.000 0.000 0.000
2.376 2.376 0.000
0.000 2.376 2.860
2.376 0.000 2.860
0.000 0.000 2.860

=====

no.,density (Mg/m³)
1,3.836
2,3.133
3,4.176
4,2.325